(1)
# LaHo3Sb2, optimized geometry, DFT PBE-GGA
data_LaHo3Sb2
_symmetry_space_group_name_H-M 'P 1'
_symmetry_Int_Tables_number 1
_cell_length_a 4.365
_cell_length_b 10.646
_cell_length_c 9.779
_cell_angle_alpha 124.74
_cell_angle_beta 90.00
_cell_angle_gamma 101.83
loop_
_symmetry_equiv_pos_as_xyz
'x,y,z'
loop_
_atom_site_label
_atom_site_fract_x
_atom_site_fract_y
_atom_site_fract_z
La1 0.888 0.777 0.902
La2 0.112 0.223 0.098
Ho1 0.311 0.622 0.508
Ho2 0.942 0.885 0.559
Ho3 0.641 0.282 0.806
Ho4 0.359 0.718 0.194
Ho5 0.058 0.115 0.441
Ho6 0.689 0.378 0.492
Sb1 0.486 0.973 0.817
Sb2 0.514 0.027 0.183
Sb3 0.756 0.512 0.220
Sb4 0.244 0.488 0.780
# density of states at the Fermi level: 6.297 states/eV/f.u.
# E_tot: -5.19 eV/atom
# formation energy without anion corrections: -0.705 eV/atom


(2)
# La5HoSb6, optimized geometry, DFT PBE-GGA
data_La5HoSb6
_symmetry_space_group_name_H-M 'P 1'
_symmetry_Int_Tables_number 1
_cell_length_a 7.943
_cell_length_b 7.942
_cell_length_c 7.942
_cell_angle_alpha 60.00
_cell_angle_beta 80.39
_cell_angle_gamma 70.49
loop_
_symmetry_equiv_pos_as_xyz
'x,y,z'
loop_
_atom_site_label
_atom_site_fract_x
_atom_site_fract_y
_atom_site_fract_z
La1 0.500 0.169 0.662
La2 0.000 0.334 0.332
La3 0.500 0.500 0.000
La4 0.000 0.666 0.668
La5 0.500 0.831 0.338
Ho1 0.000 0.000 0.000
Sb1 0.756 0.081 0.326
Sb2 0.244 0.593 0.326
Sb3 0.247 0.243 0.000
Sb4 0.753 0.757 0.000
Sb5 0.756 0.407 0.674
Sb6 0.244 0.919 0.674
# density of states at the Fermi level: 1.046 states/eV/f.u.
# E_tot: -5.74 eV/atom
# formation energy without anion corrections: -1.242 eV/atom


(3)
# LaHo3Sb3, optimized geometry, DFT PBE-GGA
data_LaHo3Sb3
_symmetry_space_group_name_H-M 'P 1'
_symmetry_Int_Tables_number 1
_cell_length_a 9.177
_cell_length_b 9.177
_cell_length_c 8.098
_cell_angle_alpha 55.48
_cell_angle_beta 55.48
_cell_angle_gamma 60.00
loop_
_symmetry_equiv_pos_as_xyz
'x,y,z'
loop_
_atom_site_label
_atom_site_fract_x
_atom_site_fract_y
_atom_site_fract_z
La1 0.334 0.334 0.997
La2 0.666 0.666 0.003
Ho1 0.352 0.817 0.745
Ho2 0.817 0.087 0.745
Ho3 0.087 0.352 0.745
Ho4 0.913 0.648 0.255
Ho5 0.183 0.913 0.255
Ho6 0.648 0.183 0.255
Sb1 0.290 0.541 0.248
Sb2 0.921 0.290 0.248
Sb3 0.541 0.921 0.248
Sb4 0.459 0.079 0.752
Sb5 0.079 0.710 0.752
Sb6 0.710 0.459 0.752
# density of states at the Fermi level: 4.506 states/eV/f.u.
# E_tot: -5.32 eV/atom
# formation energy without anion corrections: -0.888 eV/atom


(4)
# La2HoSb, optimized geometry, DFT PBE-GGA
data_La2HoSb
_symmetry_space_group_name_H-M 'P 1'
_symmetry_Int_Tables_number 1
_cell_length_a 4.282
_cell_length_b 4.282
_cell_length_c 7.030
_cell_angle_alpha 90.00
_cell_angle_beta 90.00
_cell_angle_gamma 90.00
loop_
_symmetry_equiv_pos_as_xyz
'x,y,z'
loop_
_atom_site_label
_atom_site_fract_x
_atom_site_fract_y
_atom_site_fract_z
Sb1 0.500 0.500 0.500
Ho1 0.500 0.500 0.000
La1 0.000 0.000 0.726
La2 0.000 0.000 0.274
# density of states at the Fermi level: 5.581 states/eV/f.u.
# E_tot: -5.17 eV/atom
# formation energy without anion corrections: -0.528 eV/atom


(5)
# La2Ho2Sb5, optimized geometry, DFT PBE-GGA
data_La2Ho2Sb5
_symmetry_space_group_name_H-M 'P 1'
_symmetry_Int_Tables_number 1
_cell_length_a 8.275
_cell_length_b 9.105
_cell_length_c 9.105
_cell_angle_alpha 126.61
_cell_angle_beta 90.00
_cell_angle_gamma 90.00
loop_
_symmetry_equiv_pos_as_xyz
'x,y,z'
loop_
_atom_site_label
_atom_site_fract_x
_atom_site_fract_y
_atom_site_fract_z
La1 0.000 0.809 0.191
La2 0.500 0.309 0.691
La3 0.000 0.191 0.809
La4 0.500 0.691 0.309
Ho1 0.340 0.157 0.157
Ho2 0.660 0.843 0.843
Ho3 0.840 0.343 0.343
Ho4 0.160 0.657 0.657
Sb1 0.000 0.000 0.000
Sb2 0.500 0.500 0.500
Sb3 0.140 0.228 0.493
Sb4 0.860 0.507 0.772
Sb5 0.640 0.007 0.272
Sb6 0.360 0.728 0.993
Sb7 0.860 0.772 0.507
Sb8 0.140 0.493 0.228
Sb9 0.360 0.993 0.728
Sb10 0.640 0.272 0.007
# density of states at the Fermi level: 7.277 states/eV/f.u.
# E_tot: -5.33 eV/atom
# formation energy without anion corrections: -0.927 eV/atom


(6)
# La2HoSb, optimized geometry, DFT PBE-GGA
data_La2HoSb
_symmetry_space_group_name_H-M 'P 1'
_symmetry_Int_Tables_number 1
_cell_length_a 4.170
_cell_length_b 4.170
_cell_length_c 10.060
_cell_angle_alpha 78.04
_cell_angle_beta 78.04
_cell_angle_gamma 60.00
loop_
_symmetry_equiv_pos_as_xyz
'x,y,z'
loop_
_atom_site_label
_atom_site_fract_x
_atom_site_fract_y
_atom_site_fract_z
La1 0.070 0.070 0.790
La2 0.264 0.264 0.209
Ho1 0.500 0.500 0.501
Sb1 0.667 0.667 0.000
# density of states at the Fermi level: 4.527 states/eV/f.u.
# E_tot: -5.00 eV/atom
# formation energy without anion corrections: -0.359 eV/atom


(7)
# LaHoSb2, optimized geometry, DFT PBE-GGA
data_LaHoSb2
_symmetry_space_group_name_H-M 'P 1'
_symmetry_Int_Tables_number 1
_cell_length_a 4.507
_cell_length_b 4.507
_cell_length_c 7.770
_cell_angle_alpha 89.98
_cell_angle_beta 106.87
_cell_angle_gamma 120.01
loop_
_symmetry_equiv_pos_as_xyz
'x,y,z'
loop_
_atom_site_label
_atom_site_fract_x
_atom_site_fract_y
_atom_site_fract_z
La1 0.000 0.500 0.500
Ho1 0.000 0.000 0.000
Sb1 0.510 0.255 0.765
Sb2 0.490 0.745 0.235
# density of states at the Fermi level: 0.581 states/eV/f.u.
# E_tot: -5.63 eV/atom
# formation energy without anion corrections: -1.190 eV/atom


(8)
# LaSmHo2Sb4, optimized geometry, DFT PBE-GGA
data_LaSmHo2Sb4
_symmetry_space_group_name_H-M 'P 1'
_symmetry_Int_Tables_number 1
_cell_length_a 4.466
_cell_length_b 7.715
_cell_length_c 7.728
_cell_angle_alpha 70.50
_cell_angle_beta 90.00
_cell_angle_gamma 90.00
loop_
_symmetry_equiv_pos_as_xyz
'x,y,z'
loop_
_atom_site_label
_atom_site_fract_x
_atom_site_fract_y
_atom_site_fract_z
La1 0.500 0.500 0.000
Sm1 0.000 0.500 0.500
Ho1 0.000 0.000 0.000
Ho2 0.500 0.000 0.500
Sb1 0.000 0.762 0.743
Sb2 0.000 0.238 0.257
Sb3 0.500 0.759 0.250
Sb4 0.500 0.241 0.750
# density of states at the Fermi level: 1.075 states/eV/f.u.
# E_tot: -5.58 eV/atom
# formation energy without anion corrections: -1.164 eV/atom